Below is crystalline AcPuCu at its relaxed geometry, with properties calculated at the PBE level.

Properties
The calculation puts the energy of formation from the pure elements at 137 meV per atom. For the electronic total energy, the calculation gives -7.375 eV/atom. For the energy above the most stable polymorph in this dataset, the calculation gives 0.00 eV per formula unit. The calculation puts the total magnetization at 6.2 μB/f.u.

Cell lengths 12.5672, 4.2110, 6.3559 Å; angles 90.00, 91.05, 90.00 degrees
Closest atoms and distances in Å follow each position.
Space group Cm (No. 8)
Unique sites:
Ac: 0.0000 0.0000 0.0000 x2  3 Cu 3.26-3.30, 5 Pu 3.44-3.64
Ac: 0.0885 0.5000 0.4998 x2  3 Cu 3.31-3.42, 1 Pu 3.43
Pu: 0.2276 0.5000 0.0411 x2  2 Cu 2.88, 2 Pu 3.13
Pu: 0.3093 0.0000 0.7179 x2  3 Cu 2.86-3.01, 2 Pu 3.13
Cu: 0.3446 0.0000 0.2507 x2  2 Cu 2.52
Cu: 0.3858 0.5000 0.4556 x2  2 Cu 2.52